Entry i
# InNiSb2I, relaxed, DFT GGA-PBE
# * spin magnetization: 1.1 μB/f.u.
data_InNiSb2I
_chemical_formula_sum 'In1 Ni1 Sb2 I1'
_cell_length_a 5.614
_cell_length_b 5.614
_cell_length_c 5.872
_cell_angle_alpha 90.00
_cell_angle_beta 90.00
_cell_angle_gamma 90.00
_space_group_name_H-M_alt 'P 1'
_space_group_IT_number 1
loop_
_space_group_symop_operation_xyz
'x,y,z'
loop_
_atom_site_label
_atom_site_type_symbol
_atom_site_fract_x
_atom_site_fract_y
_atom_site_fract_z
In1 In 0.000 0.000 0.000
Ni1 Ni 0.500 0.500 0.500
Sb1 Sb 0.000 0.500 0.000
Sb2 Sb 0.500 0.000 0.000
I1 I 0.000 0.000 0.500

Entry ii
# InNiSb2I, relaxed, DFT GGA-PBE
# * spin magnetization: 0.0 μB/f.u.
data_InNiSb2I
_chemical_formula_sum 'In1 Ni1 Sb2 I1'
_cell_length_a 5.066
_cell_length_b 5.066
_cell_length_c 5.240
_cell_angle_alpha 90.00
_cell_angle_beta 90.00
_cell_angle_gamma 90.00
_space_group_name_H-M_alt 'P 1'
_space_group_IT_number 1
loop_
_space_group_symop_operation_xyz
'x,y,z'
loop_
_atom_site_label
_atom_site_type_symbol
_atom_site_fract_x
_atom_site_fract_y
_atom_site_fract_z
In1 In 0.000 0.000 0.000
Ni1 Ni 0.000 0.000 0.500
Sb1 Sb 0.000 0.500 0.500
Sb2 Sb 0.500 0.000 0.500
I1 I 0.500 0.500 0.000

entry ii is favored, and the nearest alternative lies 1032 meV/atom above it.

Entry i
# NpIn2I8, relaxed, DFT GGA-PBE
# * spin magnetization: 3.0 μB/f.u.
data_NpIn2I8
_chemical_formula_sum 'Np1 In2 I8'
_cell_length_a 8.803
_cell_length_b 8.803
_cell_length_c 9.992
_cell_angle_alpha 117.08
_cell_angle_beta 117.08
_cell_angle_gamma 77.03
_space_group_name_H-M_alt 'P 1'
_space_group_IT_number 1
loop_
_space_group_symop_operation_xyz
'x,y,z'
loop_
_atom_site_label
_atom_site_type_symbol
_atom_site_fract_x
_atom_site_fract_y
_atom_site_fract_z
Np1 Np 0.000 0.000 0.000
In1 In 0.091 0.091 0.670
In2 In 0.909 0.909 0.330
I1 I 0.152 0.759 0.180
I2 I 0.241 0.848 0.820
I3 I 0.253 0.253 0.268
I4 I 0.329 0.329 0.809
I5 I 0.671 0.671 0.191
I6 I 0.747 0.747 0.732
I7 I 0.759 0.152 0.180
I8 I 0.848 0.241 0.820

Entry ii
# NpIn2I8, relaxed, DFT GGA-PBE
# * spin magnetization: 4.2 μB/f.u.
data_NpIn2I8
_chemical_formula_sum 'Np1 In2 I8'
_cell_length_a 9.044
_cell_length_b 9.044
_cell_length_c 7.629
_cell_angle_alpha 98.38
_cell_angle_beta 98.38
_cell_angle_gamma 75.76
_space_group_name_H-M_alt 'P 1'
_space_group_IT_number 1
loop_
_space_group_symop_operation_xyz
'x,y,z'
loop_
_atom_site_label
_atom_site_type_symbol
_atom_site_fract_x
_atom_site_fract_y
_atom_site_fract_z
Np1 Np 0.000 0.000 0.000
In1 In 0.205 0.205 0.664
In2 In 0.795 0.795 0.336
I1 I 0.102 0.721 0.224
I2 I 0.191 0.191 0.275
I3 I 0.279 0.898 0.776
I4 I 0.392 0.392 0.840
I5 I 0.608 0.608 0.160
I6 I 0.721 0.102 0.224
I7 I 0.809 0.809 0.725
I8 I 0.898 0.279 0.776

entry i is favored, and the nearest alternative lies 34 meV/atom above it.

Entry i
# NpInI6, relaxed, DFT GGA-PBE
# * spin magnetization: 3.8 μB/f.u.
data_NpInI6
_chemical_formula_sum 'Np1 In1 I6'
_cell_length_a 8.201
_cell_length_b 8.201
_cell_length_c 8.201
_cell_angle_alpha 55.32
_cell_angle_beta 55.32
_cell_angle_gamma 55.32
_space_group_name_H-M_alt 'P 1'
_space_group_IT_number 1
loop_
_space_group_symop_operation_xyz
'x,y,z'
loop_
_atom_site_label
_atom_site_type_symbol
_atom_site_fract_x
_atom_site_fract_y
_atom_site_fract_z
Np1 Np 0.000 0.000 0.000
In1 In 0.500 0.500 0.500
I1 I 0.088 0.752 0.410
I2 I 0.248 0.590 0.912
I3 I 0.410 0.088 0.752
I4 I 0.590 0.912 0.248
I5 I 0.752 0.410 0.088
I6 I 0.912 0.248 0.590

Entry ii
# NpInI6, relaxed, DFT GGA-PBE
# * spin magnetization: 3.8 μB/f.u.
data_NpInI6
_chemical_formula_sum 'Np1 In1 I6'
_cell_length_a 7.908
_cell_length_b 7.908
_cell_length_c 7.554
_cell_angle_alpha 98.55
_cell_angle_beta 98.55
_cell_angle_gamma 122.97
_space_group_name_H-M_alt 'P 1'
_space_group_IT_number 1
loop_
_space_group_symop_operation_xyz
'x,y,z'
loop_
_atom_site_label
_atom_site_type_symbol
_atom_site_fract_x
_atom_site_fract_y
_atom_site_fract_z
Np1 Np 0.000 0.000 0.000
In1 In 0.500 0.500 0.500
I1 I 0.103 0.404 0.254
I2 I 0.246 0.246 0.755
I3 I 0.404 0.103 0.254
I4 I 0.596 0.897 0.746
I5 I 0.754 0.754 0.245
I6 I 0.897 0.596 0.746

entry ii is favored, and the nearest alternative lies 12 meV/atom above it.

Entry i
# InI3O, relaxed, DFT GGA-PBE
# * spin magnetization: 0.0 μB/f.u.
data_InI3O
_chemical_formula_sum 'In1 I3 O1'
_cell_length_a 5.251
_cell_length_b 5.251
_cell_length_c 5.251
_cell_angle_alpha 90.00
_cell_angle_beta 90.00
_cell_angle_gamma 90.00
_space_group_name_H-M_alt 'P 1'
_space_group_IT_number 1
loop_
_space_group_symop_operation_xyz
'x,y,z'
loop_
_atom_site_label
_atom_site_type_symbol
_atom_site_fract_x
_atom_site_fract_y
_atom_site_fract_z
In1 In 0.000 0.000 0.000
I1 I 0.000 0.500 0.500
I2 I 0.500 0.000 0.500
I3 I 0.500 0.500 0.000
O1 O 0.500 0.500 0.500

Entry ii
# InI3O, relaxed, DFT GGA-PBE
# * spin magnetization: 0.0 μB/f.u.
data_InI3O
_chemical_formula_sum 'In1 I3 O1'
_cell_length_a 5.873
_cell_length_b 5.873
_cell_length_c 5.873
_cell_angle_alpha 90.00
_cell_angle_beta 90.00
_cell_angle_gamma 90.00
_space_group_name_H-M_alt 'P 1'
_space_group_IT_number 1
loop_
_space_group_symop_operation_xyz
'x,y,z'
loop_
_atom_site_label
_atom_site_type_symbol
_atom_site_fract_x
_atom_site_fract_y
_atom_site_fract_z
In1 In 0.000 0.000 0.000
I1 I 0.000 0.000 0.500
I2 I 0.000 0.500 0.000
I3 I 0.500 0.000 0.000
O1 O 0.500 0.500 0.500

entry i is favored, and the nearest alternative lies 530 meV/atom above it.

Entry i
# InOsI2O, relaxed, DFT GGA-PBE
# * spin magnetization: 0.4 μB/f.u.
data_InOsI2O
_chemical_formula_sum 'In1 Os1 I2 O1'
_cell_length_a 5.784
_cell_length_b 5.784
_cell_length_c 3.787
_cell_angle_alpha 90.00
_cell_angle_beta 90.00
_cell_angle_gamma 90.00
_space_group_name_H-M_alt 'P 1'
_space_group_IT_number 1
loop_
_space_group_symop_operation_xyz
'x,y,z'
loop_
_atom_site_label
_atom_site_type_symbol
_atom_site_fract_x
_atom_site_fract_y
_atom_site_fract_z
In1 In 0.000 0.000 0.000
Os1 Os 0.500 0.500 0.500
I1 I 0.000 0.500 0.500
I2 I 0.500 0.000 0.500
O1 O 0.500 0.500 0.000

Entry ii
# InOsI2O, relaxed, DFT GGA-PBE
# * spin magnetization: 3.6 μB/f.u.
data_InOsI2O
_chemical_formula_sum 'In1 Os1 I2 O1'
_cell_length_a 5.956
_cell_length_b 5.956
_cell_length_c 3.891
_cell_angle_alpha 90.00
_cell_angle_beta 90.00
_cell_angle_gamma 90.00
_space_group_name_H-M_alt 'P 1'
_space_group_IT_number 1
loop_
_space_group_symop_operation_xyz
'x,y,z'
loop_
_atom_site_label
_atom_site_type_symbol
_atom_site_fract_x
_atom_site_fract_y
_atom_site_fract_z
In1 In 0.000 0.000 0.000
Os1 Os 0.500 0.500 0.500
I1 I 0.000 0.500 0.000
I2 I 0.500 0.000 0.000
O1 O 0.000 0.000 0.500

entry i is favored, and the nearest alternative lies 1015 meV/atom above it.

Entry i
# InPI2O, relaxed, DFT GGA-PBE
# * spin magnetization: 1.9 μB/f.u.
data_InPI2O
_chemical_formula_sum 'In1 P1 I2 O1'
_cell_length_a 6.165
_cell_length_b 6.165
_cell_length_c 3.982
_cell_angle_alpha 90.00
_cell_angle_beta 90.00
_cell_angle_gamma 90.00
_space_group_name_H-M_alt 'P 1'
_space_group_IT_number 1
loop_
_space_group_symop_operation_xyz
'x,y,z'
loop_
_atom_site_label
_atom_site_type_symbol
_atom_site_fract_x
_atom_site_fract_y
_atom_site_fract_z
In1 In 0.000 0.000 0.000
P1 P 0.500 0.500 0.500
I1 I 0.000 0.500 0.000
I2 I 0.500 0.000 0.000
O1 O 0.000 0.000 0.500

Entry ii
# InPI2O, relaxed, DFT GGA-PBE
# * spin magnetization: 0.0 μB/f.u.
data_InPI2O
_chemical_formula_sum 'In1 P1 I2 O1'
_cell_length_a 6.269
_cell_length_b 6.269
_cell_length_c 3.549
_cell_angle_alpha 90.00
_cell_angle_beta 90.00
_cell_angle_gamma 90.00
_space_group_name_H-M_alt 'P 1'
_space_group_IT_number 1
loop_
_space_group_symop_operation_xyz
'x,y,z'
loop_
_atom_site_label
_atom_site_type_symbol
_atom_site_fract_x
_atom_site_fract_y
_atom_site_fract_z
In1 In 0.000 0.000 0.000
P1 P 0.500 0.500 0.500
I1 I 0.000 0.500 0.500
I2 I 0.500 0.000 0.500
O1 O 0.500 0.500 0.000

entry ii is favored, and the nearest alternative lies 546 meV/atom above it.

Entry i
# InPbI2O, relaxed, DFT GGA-PBE
# * spin magnetization: 0.0 μB/f.u.
data_InPbI2O
_chemical_formula_sum 'In1 Pb1 I2 O1'
_cell_length_a 6.418
_cell_length_b 6.418
_cell_length_c 4.257
_cell_angle_alpha 90.00
_cell_angle_beta 90.00
_cell_angle_gamma 90.00
_space_group_name_H-M_alt 'P 1'
_space_group_IT_number 1
loop_
_space_group_symop_operation_xyz
'x,y,z'
loop_
_atom_site_label
_atom_site_type_symbol
_atom_site_fract_x
_atom_site_fract_y
_atom_site_fract_z
In1 In 0.000 0.000 0.000
Pb1 Pb 0.500 0.500 0.500
I1 I 0.000 0.500 0.500
I2 I 0.500 0.000 0.500
O1 O 0.500 0.500 0.000

Entry ii
# InPbI2O, relaxed, DFT GGA-PBE
# * spin magnetization: 0.0 μB/f.u.
data_InPbI2O
_chemical_formula_sum 'In1 Pb1 I2 O1'
_cell_length_a 6.215
_cell_length_b 6.215
_cell_length_c 3.994
_cell_angle_alpha 90.00
_cell_angle_beta 90.00
_cell_angle_gamma 90.00
_space_group_name_H-M_alt 'P 1'
_space_group_IT_number 1
loop_
_space_group_symop_operation_xyz
'x,y,z'
loop_
_atom_site_label
_atom_site_type_symbol
_atom_site_fract_x
_atom_site_fract_y
_atom_site_fract_z
In1 In 0.000 0.000 0.000
Pb1 Pb 0.500 0.500 0.500
I1 I 0.000 0.500 0.000
I2 I 0.500 0.000 0.000
O1 O 0.000 0.000 0.500

entry ii is favored, and the nearest alternative lies 15 meV/atom above it.

Entry i
# InPdI2O, relaxed, DFT GGA-PBE
# * spin magnetization: 0.9 μB/f.u.
data_InPdI2O
_chemical_formula_sum 'In1 Pd1 I2 O1'
_cell_length_a 5.991
_cell_length_b 5.991
_cell_length_c 3.900
_cell_angle_alpha 90.00
_cell_angle_beta 90.00
_cell_angle_gamma 90.00
_space_group_name_H-M_alt 'P 1'
_space_group_IT_number 1
loop_
_space_group_symop_operation_xyz
'x,y,z'
loop_
_atom_site_label
_atom_site_type_symbol
_atom_site_fract_x
_atom_site_fract_y
_atom_site_fract_z
In1 In 0.000 0.000 0.000
Pd1 Pd 0.500 0.500 0.500
I1 I 0.000 0.500 0.000
I2 I 0.500 0.000 0.000
O1 O 0.000 0.000 0.500

Entry ii
# InPdI2O, relaxed, DFT GGA-PBE
# * spin magnetization: 1.1 μB/f.u.
data_InPdI2O
_chemical_formula_sum 'In1 Pd1 I2 O1'
_cell_length_a 5.808
_cell_length_b 5.808
_cell_length_c 3.947
_cell_angle_alpha 90.00
_cell_angle_beta 90.00
_cell_angle_gamma 90.00
_space_group_name_H-M_alt 'P 1'
_space_group_IT_number 1
loop_
_space_group_symop_operation_xyz
'x,y,z'
loop_
_atom_site_label
_atom_site_type_symbol
_atom_site_fract_x
_atom_site_fract_y
_atom_site_fract_z
In1 In 0.000 0.000 0.000
Pd1 Pd 0.500 0.500 0.500
I1 I 0.000 0.500 0.500
I2 I 0.500 0.000 0.500
O1 O 0.500 0.500 0.000

entry ii is favored, and the nearest alternative lies 174 meV/atom above it.